[1]
A plane-wave DFT calculation with PBE was carried out for crystalline Sc2TePb at its relaxed geometry.

Cell: 5.258 5.258 5.258 Å, 60.00 60.00 60.00°
Atoms (fractional coordinates):
Sc 0.000 0.000 0.000
Sc 0.250 0.250 0.250
Te 0.750 0.750 0.750
Pb 0.500 0.500 0.500

Properties
* space group: F-43m, No. 216
* excess energy over the best structure of this formula in the dataset: 722 meV per atom
* ΔE_f (raw): -0.045 eV/atom

[2]
A plane-wave DFT calculation with PBE was carried out for crystalline Sc2TePb at its relaxed geometry.

Cell: 5.161 5.161 3.707 Å, 90.00 90.00 99.38°
Atoms (fractional coordinates):
Sc 0.000 0.500 0.000
Sc 0.500 0.000 0.000
Te 0.000 0.000 0.500
Pb 0.500 0.500 0.500

Properties
* space group: Cmmm, No. 65
* excess energy over the best structure of this formula in the dataset: 247 meV per atom
* ΔE_f (raw): -0.520 eV/atom

[3]
A plane-wave DFT calculation with PBE was carried out for crystalline Sc2TePb2 at its relaxed geometry.

Cell: 8.334 8.334 3.917 Å, 90.00 90.00 90.00°
Atoms (fractional coordinates):
Sc 0.175 0.325 0.000
Sc 0.325 0.825 0.000
Sc 0.675 0.175 0.000
Sc 0.825 0.675 0.000
Te 0.000 0.000 0.500
Te 0.500 0.500 0.500
Pb 0.129 0.629 0.500
Pb 0.371 0.129 0.500
Pb 0.629 0.871 0.500
Pb 0.871 0.371 0.500

Properties
* space group: P4/mbm, No. 127
* excess energy over the best structure of this formula in the dataset: 336 meV per atom
* ΔE_f (raw): -0.175 eV/atom

[4]
A plane-wave DFT calculation with PBE was carried out for crystalline Sc2TePb at its relaxed geometry.

Cell: 4.202 4.202 5.923 Å, 90.00 90.00 90.00°
Atoms (fractional coordinates):
Sc 0.000 0.000 0.000
Sc 0.500 0.500 0.500
Te 0.000 0.000 0.500
Pb 0.500 0.500 0.000

Properties
* space group: P4/mmm, No. 123
* excess energy over the best structure of this formula in the dataset: 15 meV per atom
* ΔE_f (raw): -0.751 eV/atom

[5]
A plane-wave DFT calculation with PBE was carried out for crystalline Sc2TePb at its relaxed geometry.

Cell: 4.184 4.184 7.342 Å, 106.64 106.64 60.06°
Atoms (fractional coordinates):
Sc 0.248 0.248 0.243
Sc 0.752 0.752 0.757
Te 0.000 0.000 0.500
Pb 0.500 0.500 0.000

Properties
* space group: C2/m, No. 12
* excess energy over the best structure of this formula in the dataset: 15 meV per atom
* ΔE_f (raw): -0.752 eV/atom

[6]
A plane-wave DFT calculation with PBE was carried out for crystalline Sc7Te2Pb2 at its relaxed geometry.

Cell: 6.791 6.791 6.498 Å, 90.00 90.00 99.46°
Atoms (fractional coordinates):
Sc 0.000 0.000 0.000
Sc 0.000 0.500 0.270
Sc 0.000 0.500 0.730
Sc 0.500 0.000 0.270
Sc 0.500 0.000 0.730
Sc 0.500 0.500 0.265
Sc 0.500 0.500 0.735
Te 0.277 0.723 0.000
Te 0.723 0.277 0.000
Pb 0.189 0.189 0.500
Pb 0.811 0.811 0.500

Properties
* space group: Cmmm, No. 65
* ΔE_f (raw): -0.313 eV/atom

[7]
A plane-wave DFT calculation with PBE was carried out for crystalline Sc2TePb at its relaxed geometry.

Cell: 5.180 5.180 5.180 Å, 60.00 60.00 60.00°
Atoms (fractional coordinates):
Sc 0.250 0.250 0.250
Sc 0.750 0.750 0.750
Te 0.000 0.000 0.000
Pb 0.500 0.500 0.500

Properties
* space group: Fm-3m, No. 225
* excess energy over the best structure of this formula in the dataset: 285 meV per atom
* ΔE_f (raw): -0.482 eV/atom

[8]
A plane-wave DFT calculation with PBE was carried out for crystalline Sc2TePb2 at its relaxed geometry.

Cell: 7.667 7.667 4.518 Å, 90.00 90.00 90.00°
Atoms (fractional coordinates):
Sc 0.163 0.337 0.000
Sc 0.337 0.837 0.000
Sc 0.663 0.163 0.000
Sc 0.837 0.663 0.000
Te 0.000 0.000 0.000
Te 0.500 0.500 0.000
Pb 0.144 0.644 0.500
Pb 0.356 0.144 0.500
Pb 0.644 0.856 0.500
Pb 0.856 0.356 0.500

Properties
* space group: P4/mbm, No. 127
* excess energy over the best structure of this formula in the dataset: 0 meV per atom
* ΔE_f (raw): -0.511 eV/atom

Calculated values (Å³/atom) of volume for the records, taken in order: 25.698; 24.354; 27.208; 26.139; 26.281; 26.873; 24.575; 26.559.